# Co6Ni5Ir (PBE, optimized geometry)
data_Co6Ni5Ir
_chemical_formula_sum 'Co12 Ni10 Ir2'
_cell_length_a 3.547
_cell_length_b 10.585
_cell_length_c 7.211
_cell_angle_alpha 90.00
_cell_angle_beta 90.10
_cell_angle_gamma 90.00
_symmetry_space_group_name_H-M 'C 1 2/m 1'
_symmetry_Int_Tables_number 12
loop_
_symmetry_equiv_pos_as_xyz
'x,y,z'
'-x,-y,-z'
'-x,y,-z'
'x,-y,z'
'x+1/2,y+1/2,z'
'-x+1/2,-y+1/2,-z'
'-x+1/2,y+1/2,-z'
'x+1/2,-y+1/2,z'
loop_
_atom_site_label
_atom_site_type_symbol
_atom_site_fract_x
_atom_site_fract_y
_atom_site_fract_z
Co1 Co 0.000 0.000 0.244
Co2 Co 0.000 0.331 0.247
Ni1 Ni 0.000 0.166 0.000
Ni2 Ni 0.000 0.170 0.500
Ni3 Ni 0.000 0.500 0.000
Ir1 Ir 0.000 0.500 0.500
# ΔH_f (0 K)   12 meV/atom

# Sr2BiAu2 (PBE, optimized geometry)
data_Sr2BiAu2
_chemical_formula_sum 'Sr4 Bi2 Au4'
_cell_length_a 4.775
_cell_length_b 6.994
_cell_length_c 8.811
_cell_angle_alpha 90.00
_cell_angle_beta 90.00
_cell_angle_gamma 90.00
_symmetry_space_group_name_H-M 'I m m m'
_symmetry_Int_Tables_number 71
_symmetry_space_group_name_Hall '-I 2 2'
loop_
_atom_site_label
_atom_site_type_symbol
_atom_site_fract_x
_atom_site_fract_y
_atom_site_fract_z
Sr1 Sr 0.000 0.000 0.212
Bi1 Bi 0.000 0.500 0.000
Au1 Au 0.000 0.299 0.500
# ΔH_f (0 K)   -756 meV/atom

# Sr4CaAu (PBE, optimized geometry)
data_Sr4CaAu
_chemical_formula_sum 'Sr16 Ca4 Au4'
_cell_length_a 10.549
_cell_length_b 10.549
_cell_length_c 10.549
_cell_angle_alpha 90.00
_cell_angle_beta 90.00
_cell_angle_gamma 90.00
_symmetry_space_group_name_H-M 'F -4 3 m'
_symmetry_Int_Tables_number 216
_symmetry_space_group_name_Hall 'F -4 2 3'
loop_
_atom_site_label
_atom_site_type_symbol
_atom_site_fract_x
_atom_site_fract_y
_atom_site_fract_z
Sr1 Sr 0.125 0.125 0.125
Ca1 Ca 0.000 0.000 0.500
Au1 Au 0.250 0.250 0.750
# ΔH_f (0 K)   337 meV/atom

# La4Tb3Dy (PBE, optimized geometry)
data_La4Tb3Dy
_chemical_formula_sum 'La8 Tb6 Dy2'
_cell_length_a 5.163
_cell_length_b 10.327
_cell_length_c 10.320
_cell_angle_alpha 90.00
_cell_angle_beta 90.00
_cell_angle_gamma 90.00
_symmetry_space_group_name_H-M 'P m m n'
_symmetry_Int_Tables_number 59
loop_
_symmetry_equiv_pos_as_xyz
'x,y,z'
'-x,-y,-z'
'-x+1/2,-y+1/2,z'
'x+1/2,y+1/2,-z'
'x+1/2,-y,-z'
'-x+1/2,y,z'
'-x,y+1/2,-z'
'x,-y+1/2,z'
loop_
_atom_site_label
_atom_site_type_symbol
_atom_site_fract_x
_atom_site_fract_y
_atom_site_fract_z
La1 La 0.250 0.000 0.128
La2 La 0.250 0.250 0.872
La3 La 0.250 0.750 0.872
Tb1 Tb 0.250 0.000 0.617
Tb2 Tb 0.250 0.250 0.383
Dy1 Dy 0.250 0.750 0.383
# ΔH_f (0 K)   26 meV/atom